Entry 1:
Below is an optimized crystal structure of NaLa2AlO, with properties calculated at the GGA-PBE level.

a b c (Å): 5.013 5.013 4.735
angles (deg): 90.00 90.00 90.00
Element x y z (fractional)
Na 0.000 0.000 0.500
Al 0.500 0.500 0.500
O 0.000 0.000 0.000
La 0.000 0.500 0.000
La 0.500 0.000 0.000

Computed properties:
For the total magnetization, the calculation gives 0.00 μB per formula unit. The calculation puts the formation energy (no corrections) at -1.183 eV per atom.


Entry 2:
Below is an optimized crystal structure of NaLa4Al3O12, with properties calculated at the GGA-PBE level.

a b c (Å): 6.726 6.726 6.726
angles (deg): 109.47 109.47 109.47
Element x y z (fractional)
Na 0.000 0.000 0.000
La 0.500 0.500 0.500
La 0.000 0.000 0.500
La 0.500 0.000 0.000
La 0.000 0.500 0.000
Al 0.500 0.000 0.500
Al 0.500 0.500 0.000
Al 0.000 0.500 0.500
O 0.250 0.500 0.750
O 0.731 0.000 0.731
O 0.269 0.000 0.269
O 0.750 0.500 0.250
O 0.731 0.731 0.000
O 0.269 0.269 0.000
O 0.750 0.250 0.500
O 0.250 0.750 0.500
O 0.500 0.250 0.750
O 0.000 0.731 0.731
O 0.500 0.750 0.250
O 0.000 0.269 0.269

Computed properties:
For the total magnetization, the calculation gives 1.92 μB per formula unit. The calculation puts the formation energy (no corrections) at -2.858 eV per atom.


Entry 3:
Below is an optimized crystal structure of Na4La3AlO8, with properties calculated at the GGA-PBE level.

a b c (Å): 6.917 6.805 7.196
angles (deg): 119.17 118.73 90.00
Element x y z (fractional)
Na 0.500 0.000 0.000
Na 0.500 0.000 0.500
Na 0.000 0.000 0.000
Na 0.000 0.000 0.500
La 0.500 0.500 0.000
La 0.500 0.500 0.500
La 0.000 0.500 0.500
Al 0.000 0.500 0.000
O 0.181 0.676 0.966
O 0.282 0.768 0.564
O 0.273 0.281 0.546
O 0.785 0.676 0.966
O 0.215 0.324 0.034
O 0.727 0.719 0.454
O 0.718 0.232 0.436
O 0.819 0.324 0.034

Computed properties:
For the total magnetization, the calculation gives 0.00 μB per formula unit. The calculation puts the formation energy (no corrections) at -2.470 eV per atom.


Entry 4:
Below is an optimized crystal structure of NaLaAl2O, with properties calculated at the GGA-PBE level.

a b c (Å): 4.623 6.458 4.623
angles (deg): 90.00 90.00 90.00
Element x y z (fractional)
Na 0.000 0.000 0.000
Al 0.000 0.000 0.500
Al 0.500 0.000 0.000
O 0.500 0.500 0.500
La 0.000 0.500 0.000

Computed properties:
For the total magnetization, the calculation gives 0.00 μB per formula unit. The calculation puts the formation energy (no corrections) at 0.871 eV per atom.


Entry 5:
Below is an optimized crystal structure of Na3La3AlO8, with properties calculated at the GGA-PBE level.

a b c (Å): 7.003 7.002 6.889
angles (deg): 120.55 90.01 120.00
Element x y z (fractional)
Na 0.000 0.000 0.000
Na 0.000 0.500 0.000
Na 0.500 0.500 0.000
La 0.500 0.000 0.500
La 0.500 0.500 0.500
La 0.000 0.500 0.500
Al 0.000 0.000 0.500
O 0.260 0.519 0.279
O 0.740 0.481 0.721
O 0.795 0.589 0.305
O 0.205 0.411 0.695
O 0.795 0.011 0.305
O 0.205 0.989 0.695
O 0.216 0.011 0.305
O 0.784 0.989 0.695

Computed properties:
For the total magnetization, the calculation gives 1.06 μB per formula unit. The calculation puts the formation energy (no corrections) at -2.482 eV per atom.


Entry 6:
Below is an optimized crystal structure of NaLaPrAl, with properties calculated at the GGA-PBE level.

a b c (Å): 5.505 5.505 5.505
angles (deg): 60.00 60.00 60.00
Element x y z (fractional)
Pr 0.250 0.250 0.250
Na 0.000 0.000 0.000
Al 0.500 0.500 0.500
La 0.750 0.750 0.750

Computed properties:
For the total magnetization, the calculation gives 0.00 μB per formula unit.


Entry 7:
Below is an optimized crystal structure of NaLa2AlRh, with properties calculated at the GGA-PBE level.

a b c (Å): 5.591 5.591 4.931
angles (deg): 90.00 90.00 90.00
Element x y z (fractional)
Na 0.500 0.500 0.500
Rh 0.000 0.000 0.000
Al 0.000 0.000 0.500
La 0.000 0.500 0.000
La 0.500 0.000 0.000

Computed properties:
For the total magnetization, the calculation gives 0.00 μB per formula unit.


Entry 8:
Below is an optimized crystal structure of NaLa2AlS5, with properties calculated at the GGA-PBE level.

a b c (Å): 3.968 8.801 12.065
angles (deg): 90.00 90.00 103.03
Element x y z (fractional)
Na 0.805 0.610 0.528
Na 0.195 0.390 0.028
La 0.863 0.727 0.830
La 0.121 0.242 0.687
La 0.137 0.273 0.330
La 0.879 0.758 0.187
Al 0.550 0.099 0.928
Al 0.450 0.901 0.428
S 0.354 0.707 0.012
S 0.672 0.344 0.859
S 0.489 0.979 0.763
S 0.292 0.585 0.695
S 0.976 0.952 0.521
S 0.646 0.293 0.512
S 0.328 0.656 0.359
S 0.511 0.021 0.263
S 0.708 0.415 0.195
S 0.024 0.048 0.021

Computed properties:
For the total magnetization, the calculation gives 0.00 μB per formula unit. The calculation puts the formation energy (no corrections) at -1.728 eV per atom.


Number 1: raw total energy -5.16 eV/atom. Number 2: raw total energy -7.45 eV/atom. Number 3: raw total energy -6.44 eV/atom. Number 4: raw total energy -2.87 eV/atom. Number 5: raw total energy -6.63 eV/atom. Number 6: raw total energy -3.76 eV/atom. Number 7: raw total energy -4.78 eV/atom. Number 8: raw total energy -5.68 eV/atom.